1.
A geometry-optimized CdAu8 structure. Source: Alexandria via LeMat-Bulk, functional GGA-PBEsol.

Geometry as POSCAR:
```
CdAu8
1.0
-4.3579 4.3579 2.0321
4.3579 -4.3579 2.0321
4.3579 4.3579 -2.0321
Cd Au
1 8
direct
0.0000 0.0000 0.0000
0.0000 0.3337 0.3337
0.0000 0.6663 0.6663
0.3333 0.3333 0.6666
0.3333 0.6667 0.0000
0.3337 0.0000 0.3337
0.6663 0.0000 0.6663
0.6667 0.3333 0.0000
0.6667 0.6667 0.3334
```

Computed properties:
Space-group type = No. 139
Energy relative to the elements = -0.52 eV per formula unit

---

2.
A geometry-optimized LiAlRe2 structure. Source: Alexandria via LeMat-Bulk, functional GGA-PBEsol.

Geometry as POSCAR:
```
LiAlRe2
1.0
0.0000 3.0037 3.0037
3.0037 0.0000 3.0037
3.0037 3.0037 0.0000
Li Al Re
1 1 2
direct
0.0000 0.0000 0.0000
0.2500 0.2500 0.2500
0.5000 0.5000 0.5000
0.7500 0.7500 0.7500
```

Computed properties:
Space-group type = No. 216
Energy relative to the elements = -0.69 eV per formula unit

---

3.
A geometry-optimized CsTlTcNi2 structure. Source: Alexandria via LeMat-Bulk, functional GGA-PBEsol.

Geometry as POSCAR:
```
CsTlTcNi2
1.0
4.6278 0.0000 0.0000
0.0000 4.6278 0.0000
0.0000 0.0000 5.4950
Cs Tl Tc Ni
1 1 1 2
direct
0.0000 0.0000 0.0000
0.5000 0.5000 0.0000
0.0000 0.0000 0.5000
0.0000 0.5000 0.5000
0.5000 0.0000 0.5000
```

Computed properties:
Space-group type = No. 123
Energy relative to the elements = 6.80 eV per formula unit

---

Calculated values (eV/cell) of final energy for the records, taken in order: -33.11; -33.42; -20.35.